An optimized crystal structure of Na2SrGe2, computed with GGA-PBE.

abc: 4.7107 4.5618 13.6433
angles: 99.62 99.94 90.00
Sites, in units of the cell vectors:
Na 0.0603 0.8103 0.1206
Na 0.5583 0.3083 0.1166
Na 0.9397 0.1897 0.8794
Na 0.4417 0.6917 0.8834
Ge 0.7265 0.9765 0.4529
Ge 0.2735 0.0235 0.5471
Ge 0.6346 0.8846 0.2691
Ge 0.3654 0.1154 0.7309
Sr 0.1804 0.4304 0.3608
Sr 0.8196 0.5696 0.6392

Properties
Crystal system = orthorhombic
DOS at the Fermi energy = 4.52 states/eV/cell
Energy relative to the elements = -0.2666 eV per atom

=====

An optimized crystal structure of TaHgIO2, computed with GGA-PBE.

abc: 4.2226 4.2226 5.9441
angles: 90.00 90.00 90.00
Last column: magnetic moment on the atom in μB.
Sites, in units of the cell vectors:
O 0.0000 0.5000 0.0000  -0.16
O 0.5000 0.0000 0.0000  -0.16
Hg 0.0000 0.0000 0.0000  -0.02
Ta 0.5000 0.5000 0.5000  1.95
I 0.0000 0.0000 0.5000  -0.03

Properties
Crystal system = tetragonal
DOS at the Fermi energy = 5.37 states/eV/cell
Formation energy (no corrections) = 103.5 kJ per mole of atoms